Record 1
DFT (PBE) results for a geometry-optimized CsNp4Cu3S12 structure.

Computed properties:
Density = 6008 kg/m³
Uncorrected energy = -6.507 eV/atom
Magnetic moment = 8.4 μB/f.u.
Crystal system = cubic
Energy relative to the elements, uncorrected = -0.785 eV/atom

a = 9.711 Å, b = 9.711 Å, c = 9.711 Å
α = 90.00°, β = 90.00°, γ = 90.00°
Space group Im-3 (No. 204)
One atom of each set of equivalent atoms:
Cs: 0.000 0.000 0.000
Np: 0.250 0.250 0.250
Cu: 0.000 0.000 0.500
S: 0.000 0.170 0.323

=====

Record 2
DFT (PBE) results for a geometry-optimized CsNp2Cu2S6 structure.

Computed properties:
Density = 5155 kg/m³
Uncorrected energy = -6.345 eV/atom
Magnetic moment = 5.0 μB/f.u.
Crystal system = triclinic
Energy relative to the elements, uncorrected = -0.918 eV/atom

a = 7.191 Å, b = 7.363 Å, c = 7.671 Å
α = 118.09°, β = 90.11°, γ = 119.17°
Space group P-1 (No. 2)
One atom of each set of equivalent atoms:
Cs: 0.000 0.000 0.000
Np: 0.331 0.660 0.993
Cu: 0.324 0.739 0.436
S: 0.084 0.733 0.245
S: 0.361 0.847 0.760
S: 0.491 0.405 0.755

=====

Record 3
DFT (PBE) results for a geometry-optimized Cs4Np3CuS8 structure.

Computed properties:
Density = 5628 kg/m³
Uncorrected energy = -6.102 eV/atom
Magnetic moment = 10.0 μB/f.u.
Crystal system = monoclinic
Energy relative to the elements, uncorrected = -1.143 eV/atom

a = 14.230 Å, b = 8.093 Å, c = 9.293 Å
α = 90.00°, β = 120.51°, γ = 90.00°
Space group C2/m (No. 12)
One atom of each set of equivalent atoms:
Cs: 0.000 0.000 0.000
Cs: 0.000 0.500 0.000
Cs: 0.250 0.250 0.000
Np: 0.000 0.000 0.500
Np: 0.250 0.250 0.500
Cu: 0.000 0.500 0.500
S: 0.027 0.252 0.328
S: 0.226 0.000 0.682
S: 0.235 0.500 0.681

=====

Record 4
DFT (PBE) results for a geometry-optimized CsNpCuS4 structure.

Computed properties:
Density = 5400 kg/m³
Uncorrected energy = -5.826 eV/atom
Magnetic moment = 2.2 μB/f.u.
Crystal system = monoclinic
Energy relative to the elements, uncorrected = -0.912 eV/atom

a = 6.739 Å, b = 5.481 Å, c = 9.694 Å
α = 90.00°, β = 105.24°, γ = 90.00°
Space group P2_1/m (No. 11)
One atom of each set of equivalent atoms:
Cs: 0.236 0.250 0.043
Np: 0.267 0.250 0.553
Cu: 0.251 0.750 0.337
S: 0.011 0.519 0.684
S: 0.421 0.750 0.572
S: 0.474 0.750 0.201

=====

Record 5
DFT (PBE) results for a geometry-optimized CsNpCuS3 structure.

Computed properties:
Density = 5290 kg/m³
Uncorrected energy = -6.182 eV/atom
Magnetic moment = 3.0 μB/f.u.
Crystal system = monoclinic
Energy relative to the elements, uncorrected = -1.137 eV/atom

a = 9.316 Å, b = 4.011 Å, c = 9.632 Å
α = 90.00°, β = 112.49°, γ = 90.00°
Space group P2_1/m (No. 11)
One atom of each set of equivalent atoms:
Cs: 0.214 0.250 0.254
Np: 0.322 0.750 0.843
Cu: 0.080 0.250 0.599
S: 0.134 0.250 0.856
S: 0.190 0.750 0.547
S: 0.476 0.750 0.147

=====

Record 6
DFT (PBE) results for a geometry-optimized Cs3Np2CuS6 structure.

Computed properties:
Density = 5390 kg/m³
Uncorrected energy = -5.868 eV/atom
Magnetic moment = 6.0 μB/f.u.
Crystal system = monoclinic
Energy relative to the elements, uncorrected = -1.093 eV/atom

a = 6.788 Å, b = 12.937 Å, c = 8.189 Å
α = 90.00°, β = 104.78°, γ = 90.00°
Space group C2/m (No. 12)
One atom of each set of equivalent atoms:
Cs: 0.000 0.000 0.000
Cs: 0.000 0.351 0.000
Np: 0.000 0.165 0.500
Cu: 0.000 0.500 0.500
S: 0.248 0.308 0.695
S: 0.249 0.000 0.644

=====

Record 7
DFT (PBE) results for a geometry-optimized CsNpCu2S4 structure.

Computed properties:
Density = 4174 kg/m³
Uncorrected energy = -5.433 eV/atom
Magnetic moment = 2.0 μB/f.u.
Crystal system = orthorhombic
Energy relative to the elements, uncorrected = -0.621 eV/atom

a = 6.448 Å, b = 8.312 Å, c = 9.282 Å
α = 90.00°, β = 90.00°, γ = 90.00°
Space group I222 (No. 23)
One atom of each set of equivalent atoms:
Cs: 0.000 0.000 0.000
Np: 0.000 0.000 0.500
Cu: 0.000 0.500 0.135
S: 0.238 0.156 0.334

=====

Record 8
DFT (PBE) results for a geometry-optimized CsNp2CuS4 structure.

Computed properties:
Density = 6777 kg/m³
Uncorrected energy = -7.118 eV/atom
Magnetic moment = 8.0 μB/f.u.
Crystal system = orthorhombic
Energy relative to the elements, uncorrected = -1.200 eV/atom

a = 4.025 Å, b = 14.089 Å, c = 13.805 Å
α = 90.00°, β = 90.00°, γ = 90.00°
Space group Cmcm (No. 63)
One atom of each set of equivalent atoms:
Cs: 0.000 0.104 0.250
Np: 0.000 0.368 0.058
Cu: 0.000 0.169 0.750
S: 0.000 0.000 0.000
S: 0.000 0.256 0.606
S: 0.000 0.415 0.250